[1]
Computed, not measured: crystalline YTa2Hg at its relaxed geometry at the PBE-GGA level of DFT.

Total DFT energy (no corrections) (eV/atom): -7.00
E_form (eV per atom): 0.615
D(E_F) (states/eV per cell): 32.357
Total magnetic moment (Bohr magnetons per cell): 0.00

a b c (Å): 4.1049 4.1049 21.5430
angles (deg): 90.00 90.00 90.00
Space group I-42d (No. 122)
Inequivalent atoms, fractional coordinates:
Y: 0.0000 0.0000 0.0000 x4
Ta: 0.2494 0.2500 0.6250 x8
Hg: 0.0000 0.0000 0.5000 x4

---

[2]
Computed, not measured: crystalline YTa2Hg at its relaxed geometry at the PBE-GGA level of DFT.

Total DFT energy (no corrections) (eV/atom): -7.30
E_form (eV per atom): 0.313
D(E_F) (states/eV per cell): 4.414
Total magnetic moment (Bohr magnetons per cell): 0.00

a b c (Å): 3.3729 4.8328 5.2066
angles (deg): 90.00 90.00 90.00
Space group Pmmm (No. 47)
Inequivalent atoms, fractional coordinates:
Y: 0.0000 0.0000 0.0000 x1
Ta: 0.0000 0.5000 0.5000 x1
Ta: 0.5000 0.0000 0.5000 x1
Hg: 0.5000 0.5000 0.0000 x1

---

[3]
Computed, not measured: crystalline YTaHg2 at its relaxed geometry at the PBE-GGA level of DFT.

Total DFT energy (no corrections) (eV/atom): -4.52
Energy above the most stable polymorph in this dataset (eV/atom): 0.1232
E_form (eV per atom): 0.210
D(E_F) (states/eV per cell): 9.355
Total magnetic moment (Bohr magnetons per cell): 0.00

a b c (Å): 3.3293 3.3293 29.2356
angles (deg): 90.00 90.00 120.00
Space group R3m (No. 160, hexagonal axes)
Inequivalent atoms, fractional coordinates:
Y: 0.0000 0.0000 0.0000 x3
Ta: 0.0000 0.0000 0.7498 x3
Hg: 0.0000 0.0000 0.2452 x3
Hg: 0.0000 0.0000 0.4944 x3

---

[4]
Computed, not measured: crystalline YTa2Hg at its relaxed geometry at the PBE-GGA level of DFT.

Total DFT energy (no corrections) (eV/atom): -7.24
E_form (eV per atom): 0.375
D(E_F) (states/eV per cell): 6.891
Total magnetic moment (Bohr magnetons per cell): 0.00

a b c (Å): 3.3944 5.2223 9.8114
angles (deg): 90.00 90.00 90.00
Space group Imm2 (No. 44)
Inequivalent atoms, fractional coordinates:
Y: 0.0000 0.0000 0.0000 x2
Ta: 0.0000 0.0000 0.5224 x2
Ta: 0.0000 0.5000 0.2335 x2
Hg: 0.0000 0.5000 0.7712 x2

---

[5]
Computed, not measured: crystalline YTa2Hg at its relaxed geometry at the PBE-GGA level of DFT.

Total DFT energy (no corrections) (eV/atom): -7.28
E_form (eV per atom): 0.335
D(E_F) (states/eV per cell): 4.220
Total magnetic moment (Bohr magnetons per cell): 0.00

a b c (Å): 4.2157 4.2157 4.7534
angles (deg): 90.00 90.00 90.00
Space group P4/mmm (No. 123)
Inequivalent atoms, fractional coordinates:
Y: 0.0000 0.0000 0.0000 x1
Ta: 0.0000 0.5000 0.5000 x2
Hg: 0.5000 0.5000 0.0000 x1

---

[6]
Computed, not measured: crystalline YTa2Hg at its relaxed geometry at the PBE-GGA level of DFT.

Total DFT energy (no corrections) (eV/atom): -7.31
E_form (eV per atom): 0.304
D(E_F) (states/eV per cell): 9.809
Total magnetic moment (Bohr magnetons per cell): 0.00

a b c (Å): 10.9059 3.1445 5.1532
angles (deg): 90.00 105.08 90.00
Space group C2/m (No. 12)
Inequivalent atoms, fractional coordinates:
Y: 0.0000 0.0000 0.0000 x2
Ta: 0.2368 0.0000 0.7357 x4
Hg: 0.0000 0.5000 0.5000 x2